1.
# GePb3Br8 PBE-GGA optimized geometry
# - D(E_F) (states/eV/f.u.) = 0.000
# - total magnetization (μB per formula unit) = 0.00
# - E_form (uncorrected) (meV/atom) = -818
data_GePb3Br8
_chemical_formula_sum 'Ge2 Pb6 Br16'
_cell_length_a 14.7814
_cell_length_b 8.7670
_cell_length_c 8.6509
_cell_angle_alpha 90.00
_cell_angle_beta 124.20
_cell_angle_gamma 90.00
_space_group_name_H-M_alt 'C 1 2/m 1'
_space_group_IT_number 12
loop_
_space_group_symop_operation_xyz
'x,y,z'
'-x,-y,-z'
'-x,y,-z'
'x,-y,z'
'x+1/2,y+1/2,z'
'-x+1/2,-y+1/2,-z'
'-x+1/2,y+1/2,-z'
'x+1/2,-y+1/2,z'
loop_
_atom_site_label
_atom_site_fract_x
_atom_site_fract_y
_atom_site_fract_z
Ge1 0.0000 0.0000 0.0000
Pb1 0.0000 0.5000 0.0000
Pb2 0.2500 0.2500 0.5000
Br1 0.0010 0.2336 0.7685
Br2 0.2346 0.0000 0.2356
Br3 0.2503 0.0000 0.7463

2.
# Ge3PbBr8 PBE-GGA optimized geometry
# - D(E_F) (states/eV/f.u.) = 0.000
# - total magnetization (μB per formula unit) = 0.00
# - E_form (uncorrected) (meV/atom) = -637
data_Ge3PbBr8
_chemical_formula_sum 'Ge6 Pb2 Br16'
_cell_length_a 14.4642
_cell_length_b 8.3529
_cell_length_c 8.5464
_cell_angle_alpha 90.00
_cell_angle_beta 125.24
_cell_angle_gamma 90.00
_space_group_name_H-M_alt 'C 1 2/m 1'
_space_group_IT_number 12
loop_
_space_group_symop_operation_xyz
'x,y,z'
'-x,-y,-z'
'-x,y,-z'
'x,-y,z'
'x+1/2,y+1/2,z'
'-x+1/2,-y+1/2,-z'
'-x+1/2,y+1/2,-z'
'x+1/2,-y+1/2,z'
loop_
_atom_site_label
_atom_site_fract_x
_atom_site_fract_y
_atom_site_fract_z
Ge1 0.0000 0.0000 0.0000
Ge2 0.2500 0.2500 0.0000
Pb1 0.0000 0.5000 0.0000
Br1 0.0088 0.2340 0.7657
Br2 0.2434 0.0000 0.2250
Br3 0.2428 0.0000 0.7658

3.
# Ge2PbBr8 PBE-GGA optimized geometry
# - D(E_F) (states/eV/f.u.) = 1.415
# - total magnetization (μB per formula unit) = 0.00
# - E_form (uncorrected) (meV/atom) = -554
data_Ge2PbBr8
_chemical_formula_sum 'Ge4 Pb2 Br16'
_cell_length_a 14.1556
_cell_length_b 9.0439
_cell_length_c 7.6001
_cell_angle_alpha 90.00
_cell_angle_beta 93.59
_cell_angle_gamma 90.00
_space_group_name_H-M_alt 'C 1 2/m 1'
_space_group_IT_number 12
loop_
_space_group_symop_operation_xyz
'x,y,z'
'-x,-y,-z'
'-x,y,-z'
'x,-y,z'
'x+1/2,y+1/2,z'
'-x+1/2,-y+1/2,-z'
'-x+1/2,y+1/2,-z'
'x+1/2,-y+1/2,z'
loop_
_atom_site_label
_atom_site_fract_x
_atom_site_fract_y
_atom_site_fract_z
Ge1 0.1921 0.0000 0.1469
Pb1 0.0000 0.0000 0.5000
Br1 0.1155 0.0000 0.8310
Br2 0.1364 0.2123 0.3202
Br3 0.1400 0.5000 0.8111

4.
# GePdPbBr2 PBE-GGA optimized geometry
# - D(E_F) (states/eV/f.u.) = 3.035
# - total magnetization (μB per formula unit) = 0.35
# - E_form (uncorrected) (meV/atom) = 446
data_GePdPbBr2
_chemical_formula_sum 'Ge1 Pd1 Pb1 Br2'
_cell_length_a 5.7685
_cell_length_b 5.7685
_cell_length_c 5.2553
_cell_angle_alpha 90.00
_cell_angle_beta 90.00
_cell_angle_gamma 90.00
_space_group_name_H-M_alt 'P 4/m m m'
_space_group_IT_number 123
_space_group_name_Hall '-P 4 2'
loop_
_atom_site_label
_atom_site_fract_x
_atom_site_fract_y
_atom_site_fract_z
Ge1 0.0000 0.0000 0.0000
Pd1 0.5000 0.5000 0.0000
Pb1 0.5000 0.5000 0.5000
Br1 0.0000 0.5000 0.5000